(1)
A plane-wave DFT calculation with PBE was carried out for a relaxed Ac6OsRh2Cl3 crystal.

extended XYZ file:
```
12
Lattice="10.137 -2.155 0.000 10.137 2.155 0.000 -3.284 0.000 8.832" Properties=species:S:1:pos:R:3 pbc="T T T"
Ac -0.541 0.000 1.952
Ac 5.105 0.000 3.903
Ac 4.082 0.000 7.893
Ac 12.907 0.000 0.939
Ac 11.884 0.000 4.929
Ac 17.530 0.000 6.880
Os 10.137 0.000 0.000
Rh 2.311 0.000 2.978
Rh 14.678 0.000 5.855
Cl 0.607 0.000 7.350
Cl 8.495 0.000 4.416
Cl 16.382 0.000 1.483
```

Summary:
Size of the total moment in μB/atom: 0.0000
E_form (uncorrected) in meV per atom: -1122
Calculated total energy in eV per atom: -5.799
SG: No. 12


(2)
A plane-wave DFT calculation with PBE was carried out for a relaxed Ac4OsRuCl2 crystal.

extended XYZ file:
```
8
Lattice="7.485 0.000 0.000 0.000 4.318 0.000 -2.501 0.000 7.907" Properties=species:S:1:pos:R:3 pbc="T T T"
Ac 1.250 0.000 1.599
Ac -0.011 2.159 6.312
Ac 4.995 2.159 1.594
Ac 3.734 0.000 6.308
Os 0.000 2.159 0.000
Ru 3.742 0.000 0.000
Cl -1.250 0.000 3.953
Cl 2.492 2.159 3.953
```

Summary:
Size of the total moment in μB/atom: 0.0000
E_form (uncorrected) in meV per atom: -849
Calculated total energy in eV per atom: -5.928
SG: No. 10


(3)
A plane-wave DFT calculation with PBE was carried out for a relaxed Ac8Os3SCl4 crystal.

extended XYZ file:
```
16
Lattice="7.569 -4.370 0.000 7.569 4.370 0.000 -5.052 0.000 7.862" Properties=species:S:1:pos:R:3 pbc="T T T"
Ac 3.725 2.283 5.523
Ac -0.003 0.000 5.572
Ac 2.406 0.000 2.340
Ac 6.360 2.283 2.340
Ac 3.725 -2.283 5.523
Ac 7.679 0.000 5.522
Ac 10.088 0.000 2.291
Ac 6.360 -2.283 2.340
Os -2.526 0.000 3.931
Os 1.258 2.185 3.931
Os 1.258 -2.185 3.931
S 5.043 0.000 3.931
Cl 0.000 0.000 0.000
Cl 3.784 2.185 0.000
Cl 3.784 -2.185 0.000
Cl 7.569 0.000 0.000
```

Summary:
Size of the total moment in μB/atom: 0.0000
E_form (uncorrected) in meV per atom: -1054
Calculated total energy in eV per atom: -5.933
SG: No. 12


(4)
A plane-wave DFT calculation with PBE was carried out for a relaxed Ac6Os2SCl3 crystal.

extended XYZ file:
```
12
Lattice="3.785 -6.573 0.000 3.785 6.573 0.000 -2.477 0.000 7.873" Properties=species:S:1:pos:R:3 pbc="T T T"
Ac -0.027 2.306 6.255
Ac 1.131 0.000 1.615
Ac -0.027 -2.306 6.255
Ac 5.119 2.306 1.618
Ac 3.961 0.000 6.258
Ac 5.119 -2.306 1.618
Os 3.785 4.389 0.000
Os 3.785 -4.389 0.000
S 3.785 0.000 0.000
Cl -1.239 0.000 3.937
Cl 2.546 2.261 3.937
Cl 2.546 -2.261 3.937
```

Summary:
Size of the total moment in μB/atom: 0.0000
E_form (uncorrected) in meV per atom: -1161
Calculated total energy in eV per atom: -5.892
SG: No. 12